# PrMg2Hg3

A geometry-optimized PrMg2Hg3 structure (GGA-PBE, the Alexandria database).

Geometry as extended XYZ:
```
12
Lattice="-0.100 -2.860 -3.989 4.021 0.150 2.812 -4.960 -10.502 7.653" Properties=species:S:1:pos:R:3 pbc="T T T"
Pr -1.240 -2.625 1.913
Pr -3.720 -7.876 5.739
Mg -0.796 -6.238 1.471
Mg -0.244 -6.973 5.005
Mg -1.903 -10.486 7.565
Mg 0.863 -2.725 -1.088
Hg -2.480 -5.251 3.826
Hg 0.000 0.000 0.000
Hg -1.878 -8.529 3.140
Hg 1.976 -2.274 1.581
Hg -3.015 -10.937 4.895
Hg 0.838 -4.682 3.336
```

E_form, eV/atom: -0.34
Distance to the lowest polymorph of the same formula, meV per atom: 0.0